Computed, not measured: U6BeW3 after structural relaxation at the PBE-GGA level of DFT.

a = 6.923 Å, b = 6.923 Å, c = 9.802 Å
α = 90.00°, β = 90.00°, γ = 90.00°
Space group I4/mmm (No. 139)
Unique sites:
U 0.000 0.000 0.249
U 0.000 0.323 0.000
Be 0.000 0.000 0.000
W 0.000 0.000 0.500
W 0.000 0.500 0.250

Summary:
- V (Å³ per cell) = 470

---

Computed, not measured: YUBe after structural relaxation at the PBE-GGA level of DFT.

a = 6.542 Å, b = 6.542 Å, c = 6.542 Å
α = 90.00°, β = 90.00°, γ = 90.00°
Space group F-43m (No. 216)
Unique sites:
Y 0.000 0.000 0.000
U 0.000 0.000 0.500
Be 0.250 0.250 0.750

Summary:
- V (Å³ per cell) = 280
- polymorph energy (0 for the lowest one) (meV/atom) = 0.0

---

no.,DFT total energy (Ha/atom)
1,-0.34855
2,-0.23377